This record from the Alexandria database describes crystalline CaZn2Ru at its relaxed geometry. The functional is GGA-PBE. Values from VASP.

Computed properties:
Energy of formation, meV/atom: 163
M_tot, μB/atom: 0.0000
Energy, eV per cell: -13.2

The structure in Quantum ESPRESSO input format:
```
&SYSTEM
  ibrav = 0, nat = 4, ntyp = 3
/
ATOMIC_SPECIES
Ru 101.07 Ru.upf
Zn 65.41 Zn.upf
Ca 40.08 Ca.upf
CELL_PARAMETERS angstrom
4.618 0.000 0.000
2.309 3.999 0.000
2.309 1.333 3.770
ATOMIC_POSITIONS crystal
Ru 0.750 0.750 0.750
Zn 0.000 0.000 0.000
Zn 0.250 0.250 0.250
Ca 0.500 0.500 0.500
```


This record from the Alexandria database describes crystalline CaZnRu at its relaxed geometry. The functional is GGA-PBE. Values from VASP.

Computed properties:
Energy of formation, meV/atom: -175
M_tot, μB/atom: 0.0000
Energy, eV per cell: -26.2

The structure in Quantum ESPRESSO input format:
```
&SYSTEM
  ibrav = 0, nat = 6, ntyp = 3
/
ATOMIC_SPECIES
Ca 40.08 Ca.upf
Zn 65.41 Zn.upf
Ru 101.07 Ru.upf
CELL_PARAMETERS angstrom
-2.612 3.540 2.844
-5.053 1.288 -1.418
-4.080 -1.652 3.134
ATOMIC_POSITIONS crystal
Ca 0.883 0.367 0.367
Ca 0.117 0.633 0.633
Zn 0.500 0.500 0.000
Zn 0.500 0.000 0.500
Ru 0.000 0.000 0.000
Ru 0.500 0.000 0.000
```


This record from the Alexandria database describes crystalline Ca2ZnRu at its relaxed geometry. The functional is GGA-PBE. Values from VASP.

Computed properties:
Energy of formation, meV/atom: 614
M_tot, μB/atom: 0.2571
Energy, eV per cell: -24.2

The structure in Quantum ESPRESSO input format:
```
&SYSTEM
  ibrav = 0, nat = 8, ntyp = 3
/
ATOMIC_SPECIES
Ru 101.07 Ru.upf
Zn 65.41 Zn.upf
Ca 40.08 Ca.upf
CELL_PARAMETERS angstrom
-2.398 0.850 3.469
-3.569 -0.401 -2.369
-3.316 -9.447 2.690
ATOMIC_POSITIONS crystal
Ru 0.000 0.000 0.000
Ru 0.750 0.250 0.500
Zn 0.500 0.500 0.000
Zn 0.250 0.750 0.500
Ca 0.635 0.125 0.250
Ca 0.115 0.625 0.250
Ca 0.375 0.365 0.750
Ca 0.875 0.885 0.750
```